Zr4Mo3, single point on PBEsol structure, DFT SCAN; calculated volume = 18.95 Å³ per atom; magnetization = 0.000 μB per atom; calculated formation energy = -0.065 eV/atom; Fermi-level density of states = 1.018 states/eV/atom
1.0
5.1788 0.0000 0.0000
-2.5894 4.4850 0.0000
0.0000 0.0000 5.7119
Zr Mo
4 3
direct
0.0000 0.0000 0.2374 Zr
0.0000 0.0000 0.7626 Zr
0.3333 0.6667 0.0000 Zr
0.6667 0.3333 0.0000 Zr
0.0000 0.5000 0.5000 Mo
0.5000 0.0000 0.5000 Mo
0.5000 0.5000 0.5000 Mo

Zr3Mo, single point on PBEsol structure, DFT SCAN; calculated volume = 20.17 Å³ per atom; magnetization = 0.000 μB per atom; offset from the most stable computed form = 0 meV/atom; calculated formation energy = -0.014 eV/atom; Fermi-level density of states = 0.858 states/eV/atom
1.0
-1.6894 4.8459 2.4643
1.6894 -4.8459 2.4643
1.6894 4.8459 -2.4643
Zr Mo
3 1
direct
0.0000 0.0000 0.0000 Zr
0.2918 0.5124 0.7793 Zr
0.7331 0.5124 0.2207 Zr
0.4755 0.9755 0.5000 Mo

ZrMo5, single point on PBEsol structure, DFT SCAN; calculated volume = 16.06 Å³ per atom; magnetization = 0.000 μB per atom; offset from the most stable computed form = 0 meV/atom; calculated formation energy = -0.019 eV/atom; Fermi-level density of states = 0.503 states/eV/atom
1.0
5.0426 -1.5845 0.0000
5.0426 1.5845 0.0000
-2.0232 0.0000 6.0282
Zr Mo
1 5
direct
0.0000 0.0000 0.0000 Zr
0.0000 0.0000 0.5000 Mo
0.3277 0.3277 0.6579 Mo
0.3304 0.3304 0.1722 Mo
0.6696 0.6696 0.8278 Mo
0.6723 0.6723 0.3421 Mo

Zr3Mo, single point on PBEsol structure, DFT SCAN; calculated volume = 19.62 Å³ per atom; magnetization = 0.000 μB per atom; offset from the most stable computed form = 161 meV/atom; calculated formation energy = 0.147 eV/atom; Fermi-level density of states = 1.502 states/eV/atom
1.0
4.7998 0.0000 0.0000
0.0000 4.7998 0.0000
0.0000 0.0000 3.4059
Zr Mo
3 1
direct
0.0000 0.0000 0.0000 Zr
0.0000 0.5000 0.5000 Zr
0.5000 0.0000 0.5000 Zr
0.5000 0.5000 0.0000 Mo